Entry 1:
Computed, not measured: a geometry-optimized Rb2Hf2Te structure at the PBE level of DFT.

Cell lengths 7.3682, 7.3682, 6.8310 Å; angles 90.00, 90.00, 90.00 degrees
Last column: nearest neighbours and their distance in Å.
Element x y z (fractional)
Rb1 0.1805 0.3195 0.0000  5 Rb 3.76-3.82, 6 Hf 3.89-4.17
Rb2 0.3195 0.8195 0.0000  5 Rb 3.76-3.82, 6 Hf 3.89-4.17
Rb3 0.6805 0.1805 0.0000  5 Rb 3.76-3.82, 6 Hf 3.89-4.17
Rb4 0.8195 0.6805 0.0000  5 Rb 3.76-3.82, 6 Hf 3.89-4.17
Hf1 0.1417 0.6417 0.5000  2 Te 2.84, 1 Hf 2.95
Hf2 0.3583 0.1417 0.5000  2 Te 2.84, 1 Hf 2.95
Hf3 0.6417 0.8583 0.5000  2 Te 2.84, 1 Hf 2.95
Hf4 0.8583 0.3583 0.5000  2 Te 2.84, 1 Hf 2.95
Te1 0.0000 0.0000 0.5000  4 Hf 2.84
Te2 0.5000 0.5000 0.5000  4 Hf 2.84

Calculated values
The value obtained for the density is 5.9 Mg/m³. The offset from the most stable computed form comes out at 0.000 eV per atom.

Entry 2:
Computed, not measured: a geometry-optimized RbHf5Te8 structure at the PBE level of DFT.

Cell lengths 10.7730, 10.7730, 10.1239 Å; angles 104.42, 104.42, 21.23 degrees
Last column: nearest neighbours and their distance in Å.
Element x y z (fractional)
Rb1 0.0000 0.0000 0.0000  10 Te 3.79-3.89, 2 Rb 3.97
Hf1 0.1496 0.1496 0.5050  6 Te 2.81-3.12
Hf2 0.2088 0.2088 0.8478  6 Te 2.83-2.98
Hf3 0.5000 0.5000 0.5000  6 Te 2.90-2.94
Hf4 0.7912 0.7912 0.1522  6 Te 2.83-2.98
Hf5 0.8504 0.8504 0.4950  6 Te 2.81-3.12
Te1 0.0708 0.0708 0.6903  4 Hf 2.81-2.95
Te2 0.2558 0.2558 0.3409  5 Hf 2.97-3.12
Te3 0.3415 0.3415 0.9971  3 Hf 2.83-2.90
Te4 0.4142 0.4142 0.6870  3 Hf 2.87-2.94
Te5 0.5858 0.5858 0.3130  3 Hf 2.87-2.94
Te6 0.6585 0.6585 0.0029  3 Hf 2.83-2.90
Te7 0.7442 0.7442 0.6591  5 Hf 2.97-3.12
Te8 0.9292 0.9292 0.3097  4 Hf 2.81-2.95

Calculated values
The value obtained for the density is 8.1 Mg/m³. The value obtained for the final energy is -6.25 eV/atom.

Entry 3:
Computed, not measured: a geometry-optimized Rb4HfTe4 structure at the PBE level of DFT.

Cell lengths 9.4744, 9.4744, 9.4744 Å; angles 125.94, 125.94, 79.99 degrees
Last column: nearest neighbours and their distance in Å.
Element x y z (fractional)
Rb1 0.0000 0.5000 0.5000  4 Te 3.54
Rb2 0.1963 0.1963 0.0000  2 Te 3.59
Rb3 0.5000 0.0000 0.5000  4 Te 3.54
Rb4 0.8037 0.8037 0.0000  2 Te 3.59
Hf1 0.5000 0.5000 0.0000  4 Te 2.76
Te1 0.2049 0.5731 0.0000  1 Hf 2.76
Te2 0.4269 0.4269 0.6318  1 Hf 2.76
Te3 0.5731 0.2049 0.0000  1 Hf 2.76
Te4 0.7951 0.7951 0.3682  1 Hf 2.76

Calculated values
The value obtained for the density is 3.2 Mg/m³. The offset from the most stable computed form comes out at 0.079 eV per atom.

Entry 4:
Computed, not measured: a geometry-optimized Rb8HfTe6 structure at the PBE level of DFT.

Cell lengths 11.0947, 9.7259, 13.8460 Å; angles 90.00, 90.00, 90.00 degrees
Last column: nearest neighbours and their distance in Å.
Element x y z (fractional)
Rb1 0.0000 0.1499 0.0000  4 Te 3.61-3.80
Rb2 0.0000 0.1579 0.5165  3 Te 3.51-3.64
Rb3 0.1736 0.5150 0.1631  4 Te 3.58-3.81, 2 Rb 3.68-3.85
Rb4 0.1838 0.6688 0.8650  5 Te 3.58-3.90, 1 Rb 3.68
Rb5 0.1985 0.9384 0.2419  4 Te 3.63-3.78
Rb6 0.3015 0.0616 0.7419  4 Te 3.63-3.78
Rb7 0.3162 0.3312 0.3650  5 Te 3.58-3.90, 1 Rb 3.68
Rb8 0.3264 0.4850 0.6631  4 Te 3.58-3.81, 2 Rb 3.68-3.85
Rb9 0.5000 0.8421 0.0165  3 Te 3.51-3.64
Rb10 0.5000 0.8501 0.5000  4 Te 3.61-3.80
Rb11 0.6736 0.4850 0.6631  4 Te 3.58-3.81, 2 Rb 3.68-3.85
Rb12 0.6838 0.3312 0.3650  5 Te 3.58-3.90, 1 Rb 3.68
Rb13 0.6985 0.0616 0.7419  4 Te 3.63-3.78
Rb14 0.8015 0.9384 0.2419  4 Te 3.63-3.78
Rb15 0.8162 0.6688 0.8650  5 Te 3.58-3.90, 1 Rb 3.68
Rb16 0.8264 0.5150 0.1631  4 Te 3.58-3.81, 2 Rb 3.68-3.85
Hf1 0.0000 0.6805 0.5624  4 Te 2.75-2.77
Hf2 0.5000 0.3195 0.0624  4 Te 2.75-2.77
Te1 0.0000 0.2322 0.2682  8 Rb 3.51-3.88
Te2 0.0000 0.4504 0.6802  1 Hf 2.77
Te3 0.0000 0.7888 0.0603  7 Rb 3.58-3.65
Te4 0.0000 0.8939 0.6947  1 Hf 2.77
Te5 0.2026 0.6845 0.4485  1 Hf 2.75
Te6 0.2974 0.3155 0.9485  1 Hf 2.75
Te7 0.5000 0.1061 0.1947  1 Hf 2.77
Te8 0.5000 0.2112 0.5603  7 Rb 3.58-3.65
Te9 0.5000 0.5496 0.1802  1 Hf 2.77
Te10 0.5000 0.7678 0.7682  8 Rb 3.51-3.88
Te11 0.7026 0.3155 0.9485  1 Hf 2.75
Te12 0.7974 0.6845 0.4485  1 Hf 2.75

Calculated values
The value obtained for the density is 3.6 Mg/m³. The value obtained for the final energy is -3.41 eV/atom.

Entry 5:
Computed, not measured: a geometry-optimized RbHf3Te structure at the PBE level of DFT.

Cell lengths 5.1221, 5.1221, 5.1221 Å; angles 90.00, 90.00, 90.00 degrees
Last column: nearest neighbours and their distance in Å.
Element x y z (fractional)
Rb1 0.0000 0.0000 0.0000  6 Hf 2.56
Hf1 0.0000 0.0000 0.5000  2 Rb 2.56
Hf2 0.0000 0.5000 0.0000  2 Rb 2.56
Hf3 0.5000 0.0000 0.0000  2 Rb 2.56
Te1 0.5000 0.5000 0.5000  12 Hf 3.62

Calculated values
The value obtained for the density is 9.2 Mg/m³. The offset from the most stable computed form comes out at 1.152 eV per atom.

Entry 6:
Computed, not measured: a geometry-optimized Rb3HfTe4 structure at the PBE level of DFT.

Cell lengths 9.1761, 9.1761, 9.1761 Å; angles 137.10, 67.14, 130.99 degrees
Last column: nearest neighbours and their distance in Å.
Element x y z (fractional)
Rb1 0.0000 0.0000 0.0000  2 Te 3.68, 2 Hf 4.04
Rb2 0.1516 0.8657 0.2859  6 Te 3.73-4.11, 1 Hf 4.17
Rb3 0.5798 0.8657 0.7141  6 Te 3.73-4.11, 1 Hf 4.17
Hf1 0.7047 0.2047 0.5000  4 Te 2.71-2.73
Te1 0.0436 0.3912 0.6524  1 Hf 2.73
Te2 0.4379 0.2054 0.7674  1 Hf 2.71
Te3 0.4379 0.6705 0.2326  1 Hf 2.71
Te4 0.7388 0.3912 0.3476  1 Hf 2.73

Calculated values
The value obtained for the density is 4.0 Mg/m³. The value obtained for the final energy is -4.05 eV/atom.

Entry 7:
Computed, not measured: a geometry-optimized RbHf3Te structure at the PBE level of DFT.

Cell lengths 5.4295, 5.4295, 5.4295 Å; angles 90.00, 90.00, 90.00 degrees
Last column: nearest neighbours and their distance in Å.
Element x y z (fractional)
Rb1 0.0000 0.0000 0.0000  12 Hf 3.84
Hf1 0.0000 0.5000 0.5000  2 Te 2.71
Hf2 0.5000 0.0000 0.5000  2 Te 2.71
Hf3 0.5000 0.5000 0.0000  2 Te 2.71
Te1 0.5000 0.5000 0.5000  6 Hf 2.71

Calculated values
The value obtained for the density is 7.8 Mg/m³. The offset from the most stable computed form comes out at 0.000 eV per atom.

Entry 8:
Computed, not measured: a geometry-optimized Rb2HfTe3 structure at the PBE level of DFT.

Cell lengths 8.4228, 8.4228, 7.7577 Å; angles 95.17, 95.17, 70.34 degrees
Last column: nearest neighbours and their distance in Å.
Element x y z (fractional)
Rb1 0.0110 0.6774 0.8070  6 Te 3.70-3.85
Rb2 0.3226 0.9890 0.6930  6 Te 3.70-3.85
Rb3 0.6774 0.0110 0.3070  6 Te 3.70-3.85
Rb4 0.9890 0.3226 0.1930  6 Te 3.70-3.85
Hf1 0.4170 0.5830 0.2500  5 Te 2.69-2.92
Hf2 0.5830 0.4170 0.7500  5 Te 2.69-2.92
Te1 0.1401 0.8599 0.2500  1 Hf 2.69
Te2 0.3272 0.3905 0.4978  2 Hf 2.83-2.92
Te3 0.3905 0.3272 0.9978  2 Hf 2.83-2.92
Te4 0.6095 0.6728 0.0022  2 Hf 2.83-2.92
Te5 0.6728 0.6095 0.5022  2 Hf 2.83-2.92
Te6 0.8599 0.1401 0.7500  1 Hf 2.69

Calculated values
The value obtained for the density is 4.7 Mg/m³. The value obtained for the final energy is -4.55 eV/atom.

Entry 9:
Computed, not measured: a geometry-optimized Rb4HfTe4 structure at the PBE level of DFT.

Cell lengths 10.3778, 10.3778, 7.9516 Å; angles 90.00, 90.00, 90.00 degrees
Last column: nearest neighbours and their distance in Å.
Element x y z (fractional)
Rb1 0.0248 0.2500 0.0900  5 Te 3.75-3.82, 1 Hf 3.93
Rb2 0.2500 0.0248 0.5900  5 Te 3.75-3.82, 1 Hf 3.93
Rb3 0.2500 0.4752 0.5900  5 Te 3.75-3.82, 1 Hf 3.93
Rb4 0.4752 0.2500 0.0900  5 Te 3.75-3.82, 1 Hf 3.93
Rb5 0.5248 0.7500 0.9100  5 Te 3.75-3.82, 1 Hf 3.93
Rb6 0.7500 0.5248 0.4100  5 Te 3.75-3.82, 1 Hf 3.93
Rb7 0.7500 0.9752 0.4100  5 Te 3.75-3.82, 1 Hf 3.93
Rb8 0.9752 0.7500 0.9100  5 Te 3.75-3.82, 1 Hf 3.93
Hf1 0.2500 0.7500 0.2500  4 Te 2.74
Hf2 0.7500 0.2500 0.7500  4 Te 2.74
Te1 0.0321 0.7500 0.4437  1 Hf 2.74
Te2 0.2500 0.5321 0.0563  1 Hf 2.74
Te3 0.2500 0.9679 0.0563  1 Hf 2.74
Te4 0.4679 0.7500 0.4437  1 Hf 2.74
Te5 0.5321 0.2500 0.5563  1 Hf 2.74
Te6 0.7500 0.0321 0.9437  1 Hf 2.74
Te7 0.7500 0.4679 0.9437  1 Hf 2.74
Te8 0.9679 0.2500 0.5563  1 Hf 2.74

Calculated values
The value obtained for the density is 4.0 Mg/m³. The offset from the most stable computed form comes out at 0.000 eV per atom.

Entry 10:
Computed, not measured: a geometry-optimized RbHfTe3 structure at the PBE level of DFT.

Cell lengths 5.5357, 5.5652, 12.7946 Å; angles 90.00, 102.07, 90.00 degrees
Last column: nearest neighbours and their distance in Å.
Element x y z (fractional)
Rb1 0.1621 0.2500 0.3367  7 Te 3.77-4.00
Rb2 0.8379 0.7500 0.6633  7 Te 3.77-4.00
Hf1 0.4284 0.2500 0.8513  5 Te 2.67-2.91
Hf2 0.5716 0.7500 0.1487  5 Te 2.67-2.91
Te1 0.0377 0.7500 0.0783  2 Hf 2.90-2.91
Te2 0.3252 0.2500 0.6377  1 Hf 2.67
Te3 0.4490 0.7500 0.8940  2 Hf 2.83
Te4 0.5510 0.2500 0.1060  2 Hf 2.83
Te5 0.6748 0.7500 0.3623  1 Hf 2.67
Te6 0.9623 0.2500 0.9217  2 Hf 2.90-2.91

Calculated values
The value obtained for the density is 5.6 Mg/m³. The offset from the most stable computed form comes out at 0.000 eV per atom.

Entry 11:
Computed, not measured: a geometry-optimized Rb2Hf2Te structure at the PBE level of DFT.

Cell lengths 9.3254, 9.3254, 9.3254 Å; angles 152.92, 152.92, 38.67 degrees
Last column: nearest neighbours and their distance in Å.
Element x y z (fractional)
Rb1 0.2500 0.7500 0.5000  4 Rb 3.09
Rb2 0.7500 0.2500 0.5000  4 Rb 3.09
Hf1 0.0705 0.0705 0.0000  1 Hf 2.48
Hf2 0.9295 0.9295 0.0000  1 Hf 2.48
Te1 0.5000 0.5000 0.0000  8 Hf 3.33

Calculated values
The value obtained for the density is 6.5 Mg/m³. The offset from the most stable computed form comes out at 0.520 eV per atom.

Entry 12:
Computed, not measured: a geometry-optimized RbHfTe4 structure at the PBE level of DFT.

Cell lengths 8.9057, 8.9057, 7.1912 Å; angles 101.21, 101.21, 120.81 degrees
Last column: nearest neighbours and their distance in Å.
Element x y z (fractional)
Rb1 0.1392 0.8608 0.7500  6 Te 3.53-3.86
Rb2 0.8608 0.1392 0.2500  6 Te 3.53-3.86
Hf1 0.4999 0.5001 0.2500  8 Te 2.94-3.08
Hf2 0.5001 0.4999 0.7500  8 Te 2.94-3.08
Te1 0.1528 0.3104 0.8685  1 Te 2.88, 2 Hf 3.06-3.08
Te2 0.2897 0.5828 0.4692  1 Te 2.88, 2 Hf 2.94
Te3 0.3104 0.1528 0.3685  1 Te 2.88, 2 Hf 3.06-3.08
Te4 0.4172 0.7103 0.0308  1 Te 2.88, 2 Hf 2.94
Te5 0.5828 0.2897 0.9692  1 Te 2.88, 2 Hf 2.94
Te6 0.6896 0.8472 0.6315  1 Te 2.88, 2 Hf 3.06-3.08
Te7 0.7103 0.4172 0.5308  1 Te 2.88, 2 Hf 2.94
Te8 0.8472 0.6896 0.1315  1 Te 2.88, 2 Hf 3.06-3.08

Calculated values
The value obtained for the density is 5.7 Mg/m³. The offset from the most stable computed form comes out at 0.022 eV per atom.